The following is a PBE-GGA calculation of crystalline CuP2O2 at its relaxed geometry, from the Alexandria database.

It has space group P4/mmm (No. 123), with a = 4.4546 Å, b = 4.4546 Å, c = 3.5788 Å, α = 90.00°, β = 90.00° and γ = 90.00°. Symmetry generates all atoms from Cu at (0.0000, 0.0000, 0.0000), P at (0.0000, 0.5000, 0.0000), O at (0.0000, 0.0000, 0.5000) and O at (0.5000, 0.5000, 0.5000).

The calculation puts the uncorrected formation energy at 89.4 kJ per mole of atoms. The density of states at the Fermi level is 4.3 states/eV/f.u. The volume comes out at 14.20 A^3/atom. Its energy is -4.04 eV per atom.